DFT (PBE) results for a relaxed structure of NbBi2PbO6.

POSCAR file:
```
NbBi2PbO6
1.0
5.003 1.693 1.757
2.764 9.141 1.883
2.764 1.543 9.205
O Bi Pb Nb
12 4 2 2
direct
0.178 0.944 0.855
0.722 0.635 0.628
0.822 0.056 0.145
0.778 0.372 0.365
0.099 0.671 0.108
0.222 0.628 0.635
0.322 0.145 0.056
0.678 0.855 0.944
0.599 0.108 0.671
0.278 0.365 0.372
0.901 0.329 0.892
0.401 0.892 0.329
0.757 0.622 0.868
0.257 0.868 0.622
0.243 0.378 0.132
0.743 0.132 0.378
0.250 0.624 0.376
0.750 0.376 0.624
0.750 0.903 0.097
0.250 0.097 0.903
```

Calculated values
SG	C2/c, No. 15
E_form (uncorrected)	-1561	meV per atom